Density functional theory data (PBE+U) for a relaxed PuCdNiO6 crystal.

a = 5.308 Å, b = 5.308 Å, c = 9.743 Å
α = 90.00°, β = 90.00°, γ = 120.00°
Last column: magnetic moment on the atom in μB.
Sites, in units of the cell vectors:
Ni (0.333, 0.667, 0.250)  1.70
Ni (0.667, 0.333, 0.750)  1.70
O (0.989, 0.351, 0.139)  -0.01
O (0.637, 0.649, 0.639)  -0.01
O (0.649, 0.637, 0.139)  -0.01
O (0.363, 0.011, 0.139)  -0.01
O (0.363, 0.351, 0.361)  -0.01
O (0.649, 0.011, 0.361)  -0.01
O (0.011, 0.363, 0.639)  -0.01
O (0.351, 0.989, 0.639)  -0.01
O (0.637, 0.989, 0.861)  -0.01
O (0.351, 0.363, 0.861)  -0.01
O (0.989, 0.637, 0.361)  -0.01
O (0.011, 0.649, 0.861)  -0.01
Cd (0.000, 0.000, 0.500)  0.00
Cd (0.000, 0.000, 0.000)  0.00
Pu (0.333, 0.667, 0.750)  0.32
Pu (0.667, 0.333, 0.250)  0.32

## Properties
Uncorrected energy ... -6.820 eV per atom
Size of the total moment ... 1.99 μB/f.u.